1.
Entry from Alexandria via LeMat-Bulk: an optimized crystal structure of KZrSbW2 (PBE).

Properties
ΔE_f (raw)	1.806	eV/atom
magnetization	0.671	μB/atom

Lattice parameters (Å, degrees): 5.0993 5.5698 5.0993 90.00 90.00 90.00
Last column: nearest neighbours and their distance in Å.
Positions (direct):
Sb  0.0000  0.5000  0.0000  2 Zr 2.78
K  0.5000  0.5000  0.5000  4 Sb 3.61, 8 W 3.78
Zr  0.0000  0.0000  0.0000  4 W 2.55, 2 Sb 2.78
W  0.0000  0.0000  0.5000  2 Zr 2.55
W  0.5000  0.0000  0.0000  2 Zr 2.55

=====

2.
Entry from Alexandria via LeMat-Bulk: an optimized crystal structure of K2YSb (PBE).

Properties
ΔE_f (raw)	-0.341	eV/atom
magnetization	0.164	μB/atom

Lattice parameters (Å, degrees): 10.8996 10.8996 4.4551 78.23 78.23 22.20
Last column: nearest neighbours and their distance in Å.
Positions (direct):
K  0.9092  0.9092  0.0912  2 Sb 3.94, 2 Y 4.01, 2 K 4.20
K  0.5908  0.5908  0.4088  2 Sb 3.94, 2 Y 4.01, 2 K 4.20
Sb  0.2500  0.2500  0.2500  4 Y 3.06
Y  0.7500  0.7500  0.7500  4 Sb 3.06

=====

3.
Entry from Alexandria via LeMat-Bulk: an optimized crystal structure of KY2Sb (PBE).

Properties
ΔE_f (raw)	-0.299	eV/atom
magnetization	0.388	μB/atom

Lattice parameters (Å, degrees): 4.0996 4.0996 8.9336 90.00 90.00 90.00
Last column: nearest neighbours and their distance in Å.
Positions (direct):
K  0.0000  0.0000  0.5453  1 Y 3.65, 4 Sb 3.83
Sb  0.5000  0.5000  0.8247  5 Y 3.12-3.14
Y  0.0000  0.0000  0.9535  4 Sb 3.12
Y  0.5000  0.5000  0.1764  1 Sb 3.14, 4 Y 3.52

=====

4.
Entry from Alexandria via LeMat-Bulk: an optimized crystal structure of KY2Sb (PBE).

Properties
ΔE_f (raw)	-0.261	eV/atom
magnetization	0.000	μB/atom

Lattice parameters (Å, degrees): 11.2030 11.2030 11.2030 21.31 21.31 21.31
Last column: nearest neighbours and their distance in Å.
Positions (direct):
K  0.2500  0.2500  0.2500  6 K 4.14, 6 Y 4.36
Sb  0.7500  0.7500  0.7500  6 Y 3.01
Y  0.0276  0.0276  0.0276  3 Sb 3.01
Y  0.4724  0.4724  0.4724  3 Sb 3.01

=====

5.
Entry from Alexandria via LeMat-Bulk: an optimized crystal structure of K2YSb (PBE).

Properties
ΔE_f (raw)	0.143	eV/atom
magnetization	0.034	μB/atom

Lattice parameters (Å, degrees): 3.4637 3.4637 12.5976 90.00 90.00 89.98
Last column: nearest neighbours and their distance in Å.
Positions (direct):
K  0.0000  0.0000  0.0423  4 K 3.46, 4 Sb 3.58
K  0.0000  0.0000  0.4577  4 K 3.46, 4 Sb 3.58
Sb  0.5000  0.5000  0.2500  4 Sb 3.46, 8 K 3.58
Y  0.5000  0.5000  0.7500  4 Y 3.46

=====

6.
Entry from Alexandria via LeMat-Bulk: an optimized crystal structure of K2YSb (PBE).

Properties
ΔE_f (raw)	-0.132	eV/atom
magnetization	0.034	μB/atom

Lattice parameters (Å, degrees): 7.9354 7.9354 7.9354 148.43 134.03 56.84
Last column: nearest neighbours and their distance in Å.
Positions (direct):
K  0.0076  0.0076  0.0000  4 Sb 3.80, 2 Y 3.95, 2 K 3.96
K  0.6840  0.1840  0.5000  2 Sb 3.62, 2 K 3.96
Sb  0.4758  0.4758  0.0000  2 Y 2.94
Y  0.3325  0.8325  0.5000  2 Sb 2.94